VASP calculation (SCAN) on KBMo2H at its PBEsol-relaxed geometry.

a b c (Å): 4.0338 4.0338 6.6260
angles (deg): 90.00 90.00 90.00
Last column: magnetic moment on the atom in μB.
Positions (direct):
K  0.5000  0.5000  0.5000  0.01
Mo  0.5000  0.0000  0.0000  0.98
Mo  0.0000  0.5000  0.0000  0.98
H  0.0000  0.0000  0.5000  0.13
B  0.0000  0.0000  0.0000  -0.05

***

VASP calculation (SCAN) on K4B10H4O19 at its PBEsol-relaxed geometry.

a b c (Å): 6.8262 9.6140 13.3393
angles (deg): 95.21 90.00 110.79
Positions (direct):
B  0.7618  0.8357  0.3128
B  0.7174  0.2219  0.4975
B  0.2382  0.1643  0.6872
B  0.2826  0.7781  0.5025
B  0.2993  0.2602  0.1463
B  0.4955  0.7781  0.0025
B  0.0392  0.7398  0.3537
B  0.6955  0.0741  0.3302
B  0.5045  0.2219  0.9975
B  0.7007  0.7398  0.8537
B  0.8264  0.4576  0.5997
B  0.6214  0.9259  0.1698
B  0.3045  0.9259  0.6698
B  0.3688  0.5424  0.9003
B  0.0740  0.8357  0.8128
B  0.9260  0.1643  0.1872
B  0.9608  0.2602  0.6463
B  0.1736  0.5424  0.4003
B  0.6312  0.4576  0.0997
B  0.3786  0.0741  0.8302
O  0.6723  0.8235  0.9490
O  0.8093  0.0360  0.1294
O  0.1373  0.8127  0.2663
O  0.6139  0.1511  0.4092
O  0.0904  0.2699  0.1452
O  0.1907  0.9640  0.8706
O  0.3277  0.1765  0.0510
O  0.9660  0.4185  0.6527
O  0.5357  0.0000  0.2500
O  0.1820  0.4018  0.3882
O  0.4525  0.4185  0.1527
O  0.8627  0.1873  0.7337
O  0.8180  0.5982  0.6118
O  0.3152  0.1919  0.7858
O  0.5372  0.1511  0.9092
O  0.8488  0.1765  0.5510
O  0.8767  0.1919  0.2858
O  0.0340  0.5815  0.3473
O  0.4628  0.8489  0.0908
O  0.7803  0.5982  0.1118
O  0.4643  0.0000  0.7500
O  0.6848  0.8081  0.2142
O  0.1512  0.8235  0.4490
O  0.2197  0.4018  0.8882
O  0.5475  0.5815  0.8473
O  0.6754  0.8127  0.7663
O  0.6720  0.3548  0.0302
O  0.2267  0.0360  0.6294
O  0.9096  0.7301  0.8548
O  0.7733  0.9640  0.3706
O  0.6828  0.3548  0.5302
O  0.8204  0.7301  0.3548
O  0.1233  0.8081  0.7142
O  0.3280  0.6452  0.9698
O  0.1796  0.2699  0.6452
O  0.3246  0.1873  0.2337
O  0.3861  0.8489  0.5908
O  0.3172  0.6452  0.4698
H  0.0630  0.3267  0.3433
H  0.7363  0.6733  0.1567
H  0.5923  0.8798  0.7748
H  0.2637  0.3267  0.8433
H  0.7125  0.1202  0.7252
H  0.2875  0.8798  0.2748
H  0.9370  0.6733  0.6567
H  0.4077  0.1202  0.2252
K  0.1681  0.5643  0.1525
K  0.3962  0.5643  0.6525
K  0.9269  0.1222  0.9337
K  0.8319  0.4357  0.8475
K  0.6038  0.4357  0.3475
K  0.8047  0.8778  0.5663
K  0.1953  0.1222  0.4337
K  0.0731  0.8778  0.0663

***

VASP calculation (SCAN) on KB5H4O10 at its PBEsol-relaxed geometry.

a b c (Å): 7.5361 9.2654 11.3678
angles (deg): 97.99 90.00 90.00
Positions (direct):
B  0.1097  0.6661  0.5466
B  0.6870  0.0692  0.5685
B  0.0450  0.7918  0.7530
B  0.9550  0.2082  0.2470
B  0.9760  0.7452  0.9607
B  0.6097  0.3339  0.9534
B  0.0240  0.2548  0.0393
B  0.1870  0.9308  0.9315
B  0.4760  0.2548  0.5393
B  0.0973  0.1354  0.4274
B  0.5973  0.8646  0.0727
B  0.8903  0.3339  0.4534
B  0.9027  0.8646  0.5726
B  0.3903  0.6661  0.0466
B  0.5450  0.2082  0.7470
B  0.4550  0.7918  0.2530
B  0.5240  0.7452  0.4607
B  0.4027  0.1354  0.9274
B  0.3130  0.9308  0.4315
B  0.8130  0.0692  0.0685
O  0.6080  0.6748  0.5420
O  0.8911  0.4426  0.7368
O  0.8669  0.3189  0.3330
O  0.4163  0.1248  0.8075
O  0.0015  0.2374  0.5029
O  0.0837  0.1248  0.3075
O  0.5015  0.7626  0.9971
O  0.0896  0.8580  0.0084
O  0.3224  0.8931  0.3120
O  0.1089  0.5574  0.2632
O  0.2975  0.0421  0.9830
O  0.7975  0.9579  0.5170
O  0.6776  0.1069  0.6880
O  0.4516  0.2861  0.6597
O  0.1776  0.8931  0.8120
O  0.2025  0.0421  0.4830
O  0.6089  0.4426  0.2368
O  0.8920  0.6748  0.0420
O  0.9104  0.1420  0.9916
O  0.4985  0.2374  0.0029
O  0.6945  0.4415  0.0256
O  0.4104  0.8580  0.5084
O  0.8224  0.1069  0.1880
O  0.0484  0.2861  0.1597
O  0.5837  0.8752  0.1925
O  0.9163  0.8752  0.6925
O  0.3055  0.5585  0.9744
O  0.3920  0.3252  0.4580
O  0.1080  0.3252  0.9580
O  0.6331  0.3189  0.8330
O  0.5484  0.7139  0.3403
O  0.3911  0.5574  0.7632
O  0.7025  0.9579  0.0170
O  0.9516  0.7139  0.8403
O  0.5896  0.1420  0.4916
O  0.1945  0.5585  0.4744
O  0.8055  0.4415  0.5256
O  0.3669  0.6811  0.1670
O  0.1331  0.6811  0.6670
O  0.9985  0.7626  0.4971
H  0.0819  0.4570  0.2219
H  0.3411  0.5556  0.8833
H  0.9181  0.5430  0.7781
H  0.2126  0.5955  0.2200
H  0.6589  0.4444  0.1167
H  0.6813  0.5845  0.5173
H  0.3187  0.4155  0.4827
H  0.7126  0.4045  0.2800
H  0.2874  0.5955  0.7200
H  0.4181  0.4570  0.7219
H  0.8411  0.4444  0.6167
H  0.5819  0.5430  0.2781
H  0.1589  0.5556  0.3833
H  0.1813  0.4155  0.9827
H  0.8187  0.5845  0.0173
H  0.7874  0.4045  0.7800
K  0.4362  0.1740  0.2352
K  0.0638  0.1740  0.7352
K  0.9362  0.8260  0.2648
K  0.5638  0.8260  0.7648

***

Electronic total energy values (in eV per atom) by entry order: -16.37 -8.86 -8.25.
Density of states at the Fermi level values (in states/eV/cell) by entry order: 5.031 0.000 0.000.